Material: HgAs
Method: DFT, GGA-PBE
State: relaxed

a b c (Å): 5.7586 5.7586 5.7586
angles (deg): 30.83 30.83 30.83
With the nearest neighbours (Å) after each atom.
Fractional coordinates of all 2 atoms:
Hg: 0.0000 0.0000 0.0000  6 Hg 3.06, 6 As 3.26
As: 0.5000 0.5000 0.5000  6 As 3.06, 6 Hg 3.26

Summary:
The value obtained for the energy above the most stable polymorph in this dataset is 401 meV per atom. Its space group is No. 166. As for the total energy: -2.075 eV/atom. As for the total magnetization: 0.00 μB per formula unit. The calculation puts the formation energy from the elements at 0.8 eV/f.u.

---

Material: Hg3As
Method: DFT, GGA-PBE
State: relaxed

a b c (Å): 7.5607 8.6909 7.5203
angles (deg): 90.00 90.00 90.00
With the nearest neighbours (Å) after each atom.
Fractional coordinates of all 16 atoms:
Hg: 0.0004 0.2500 0.2457  2 As 2.59
Hg: 0.9996 0.7500 0.7543  2 As 2.59
Hg: 0.2462 0.0801 0.5576  1 As 2.89, 1 Hg 2.95
Hg: 0.2462 0.4199 0.5576  1 As 2.89, 1 Hg 2.95
Hg: 0.2538 0.5801 0.0576  1 As 2.89, 1 Hg 2.95
Hg: 0.2538 0.9199 0.0576  1 As 2.89, 1 Hg 2.95
Hg: 0.5004 0.2500 0.2543  2 As 2.59
Hg: 0.4996 0.7500 0.7457  2 As 2.59
Hg: 0.7462 0.0801 0.9424  1 As 2.89, 1 Hg 2.95
Hg: 0.7462 0.4199 0.9424  1 As 2.89, 1 Hg 2.95
Hg: 0.7538 0.5801 0.4424  1 As 2.89, 1 Hg 2.95
Hg: 0.7538 0.9199 0.4424  1 As 2.89, 1 Hg 2.95
As: 0.2457 0.7500 0.5143  4 Hg 2.59-2.89
As: 0.2543 0.2500 0.0143  4 Hg 2.59-2.89
As: 0.7457 0.7500 0.9857  4 Hg 2.59-2.89
As: 0.7543 0.2500 0.4857  4 Hg 2.59-2.89

Summary:
The value obtained for the energy above the most stable polymorph in this dataset is 20 meV per atom. Its space group is No. 62. As for the total energy: -1.271 eV/atom. As for the total magnetization: 0.00 μB per formula unit. The calculation puts the formation energy from the elements at 0.5 eV/f.u.

---

Material: HgAs
Method: DFT, GGA-PBE
State: relaxed

a b c (Å): 4.9206 4.9206 10.9006
angles (deg): 90.00 90.00 120.00
With the nearest neighbours (Å) after each atom.
Fractional coordinates of all 8 atoms:
Hg: 0.0000 0.0000 0.2500  3 Hg 2.84
Hg: 0.0000 0.0000 0.7500  3 Hg 2.84
Hg: 0.3333 0.6667 0.2500  2 As 2.62, 3 Hg 2.84
Hg: 0.6667 0.3333 0.7500  2 As 2.62, 3 Hg 2.84
As: 0.3333 0.6667 0.0093  1 Hg 2.62, 3 As 2.85
As: 0.3333 0.6667 0.4907  1 Hg 2.62, 3 As 2.85
As: 0.6667 0.3333 0.5093  1 Hg 2.62, 3 As 2.85
As: 0.6667 0.3333 0.9907  1 Hg 2.62, 3 As 2.85

Summary:
The value obtained for the energy above the most stable polymorph in this dataset is 220 meV per atom. Its space group is No. 194. As for the total energy: -2.256 eV/atom. As for the total magnetization: 0.00 μB per formula unit. The calculation puts the formation energy from the elements at 0.4 eV/f.u.

---

Material: Hg3As5
Method: DFT, GGA-PBE
State: relaxed

a b c (Å): 9.0051 9.0051 5.5447
angles (deg): 90.00 90.00 120.00
With the nearest neighbours (Å) after each atom.
Fractional coordinates of all 16 atoms:
Hg: 0.0000 0.4201 0.2500  6 As 3.03-3.31, 2 Hg 3.12
Hg: 0.0000 0.5799 0.7500  6 As 3.03-3.31, 2 Hg 3.12
Hg: 0.4201 0.0000 0.2500  6 As 3.03-3.31, 2 Hg 3.12
Hg: 0.4201 0.4201 0.7500  6 As 3.03-3.31, 2 Hg 3.12
Hg: 0.5799 0.0000 0.7500  6 As 3.03-3.31, 2 Hg 3.12
Hg: 0.5799 0.5799 0.2500  6 As 3.03-3.31, 2 Hg 3.12
As: 0.0000 0.1603 0.7500  2 As 2.50
As: 0.0000 0.8397 0.2500  2 As 2.50
As: 0.1603 0.0000 0.7500  2 As 2.50
As: 0.1603 0.1603 0.2500  2 As 2.50
As: 0.3333 0.6667 0.0000  2 As 2.77, 6 Hg 3.03
As: 0.3333 0.6667 0.5000  2 As 2.77, 6 Hg 3.03
As: 0.6667 0.3333 0.0000  2 As 2.77, 6 Hg 3.03
As: 0.6667 0.3333 0.5000  2 As 2.77, 6 Hg 3.03
As: 0.8397 0.0000 0.2500  2 As 2.50
As: 0.8397 0.8397 0.7500  2 As 2.50

Summary:
The value obtained for the energy above the most stable polymorph in this dataset is 0 meV per atom. Its space group is No. 193. As for the total energy: -2.679 eV/atom. As for the total magnetization: 0.00 μB per formula unit. The calculation puts the formation energy from the elements at 2.7 eV/f.u.

---

Material: Hg3As
Method: DFT, GGA-PBE
State: relaxed

a b c (Å): 2.9659 5.6819 5.9382
angles (deg): 90.00 92.86 90.00
With the nearest neighbours (Å) after each atom.
Fractional coordinates of all 4 atoms:
Hg: 0.0000 0.0000 0.0000  6 Hg 2.97-3.21, 2 As 2.97
Hg: 0.0168 0.5000 0.7476  6 Hg 2.94-3.21, 2 As 3.20
Hg: 0.9832 0.5000 0.2524  6 Hg 2.94-3.21, 2 As 3.20
As: 0.0000 0.0000 0.5000  2 As 2.97, 6 Hg 2.97-3.20

Summary:
The value obtained for the energy above the most stable polymorph in this dataset is 84 meV per atom. Its space group is No. 10. As for the total energy: -1.207 eV/atom. As for the total magnetization: 0.00 μB per formula unit. The calculation puts the formation energy from the elements at 0.7 eV/f.u.

---

Material: HgAs7
Method: DFT, GGA-PBE
State: relaxed

a b c (Å): 6.1157 6.1157 6.1157
angles (deg): 60.00 60.00 60.00
With the nearest neighbours (Å) after each atom.
Fractional coordinates of all 8 atoms:
Hg: 0.0000 0.0000 0.0000  12 As 3.06
As: 0.0000 0.0000 0.5000  2 Hg 3.06, 10 As 3.06
As: 0.0000 0.5000 0.0000  2 Hg 3.06, 10 As 3.06
As: 0.0000 0.5000 0.5000  2 Hg 3.06, 10 As 3.06
As: 0.5000 0.0000 0.0000  2 Hg 3.06, 10 As 3.06
As: 0.5000 0.0000 0.5000  2 Hg 3.06, 10 As 3.06
As: 0.5000 0.5000 0.0000  2 Hg 3.06, 10 As 3.06
As: 0.5000 0.5000 0.5000  12 As 3.06

Summary:
Its space group is No. 225. As for the total energy: -3.574 eV/atom. As for the total magnetization: 0.00 μB per formula unit. The calculation puts the formation energy from the elements at 4.3 eV/f.u.

---

- The highest formation energy from the elements belongs to which entry?
  HgAs7

---

- What is the formula in the fourth record?
  Hg3As5